Record 1
Pm6BiAs4 | PBE | optimized geometry

Cell lengths 4.2882, 7.2926, 21.4768 Å; angles 90.00, 90.00, 107.10 degrees
Closest atoms and distances in Å follow each position.
Positions (direct):
As1 0.5929 0.1858 0.8751  6 Pm 2.88-3.00
As2 0.8629 0.7259 0.9584  6 Pm 2.87-3.01
As3 0.1371 0.2741 0.4584  6 Pm 2.87-3.01
As4 0.8629 0.7259 0.5416  6 Pm 2.87-3.01
As5 0.1371 0.2741 0.0416  6 Pm 2.87-3.01
As6 0.4071 0.8142 0.1249  6 Pm 2.88-3.00
As7 0.4071 0.8142 0.3751  6 Pm 2.88-3.00
As8 0.5929 0.1858 0.6249  6 Pm 2.88-3.00
Pm1 0.9607 0.9214 0.6593  3 As 2.87-2.92
Pm2 0.9607 0.9214 0.8407  3 As 2.87-2.92
Pm3 0.2279 0.4558 0.9185  5 As 2.93-3.00
Pm4 0.5000 0.0000 0.0000  6 As 2.98-3.01
Pm5 0.0393 0.0786 0.3407  3 As 2.87-2.92
Pm6 0.2279 0.4558 0.5815  5 As 2.93-3.00
Pm7 0.0393 0.0786 0.1593  3 As 2.87-2.92
Pm8 0.3321 0.6642 0.2500  2 As 2.88, 2 Bi 3.20
Pm9 0.5000 0.0000 0.5000  6 As 2.98-3.01
Pm10 0.7721 0.5442 0.4185  5 As 2.93-3.00
Pm11 0.6679 0.3358 0.7500  2 As 2.88, 2 Bi 3.20
Pm12 0.7721 0.5442 0.0815  5 As 2.93-3.00
Bi1 0.3384 0.6768 0.7500  6 Pm 3.20-3.36
Bi2 0.6616 0.3232 0.2500  6 Pm 3.20-3.36

Crystal system: orthorhombic
Space-group type: No. 63
Formation enthalpy at 0 K (meV/atom): -1306
Total moment (μB per atom): 0.05
Total energy (eV/atom): -5.9403
Density (g/cm3): 7.13



Record 2
K3CaCd8 | PBE | optimized geometry

Cell lengths 6.2805, 6.2805, 10.1407 Å; angles 90.00, 90.00, 120.00 degrees
Closest atoms and distances in Å follow each position.
Positions (direct):
Cd1 0.5028 0.4972 0.7417  6 Cd 3.06-3.22
Cd2 0.1633 0.3266 0.2583  6 Cd 3.08-3.20
Cd3 0.6734 0.8367 0.2583  6 Cd 3.08-3.20
Cd4 0.3333 0.6667 0.5010  6 Cd 3.06-3.08
Cd5 0.3333 0.6667 0.0023  6 Cd 3.19-3.22
Cd6 0.9944 0.4972 0.7417  6 Cd 3.06-3.22
Cd7 0.5028 0.0056 0.7417  6 Cd 3.06-3.22
Cd8 0.1633 0.8367 0.2583  6 Cd 3.08-3.20
K1 0.6667 0.3333 0.0577  12 Cd 3.67-3.74, 4 K 3.82-3.84
K2 0.0000 0.0000 0.9404  12 Cd 3.68-3.73, 3 K 3.82, 1 Ca 3.83
K3 0.6667 0.3333 0.4362  12 Cd 3.57-3.69, 1 K 3.84, 3 Ca 3.85
Ca1 0.0000 0.0000 0.5623  12 Cd 3.56-3.68, 4 K 3.83-3.85

Crystal system: trigonal
Space-group type: No. 156
Formation enthalpy at 0 K (meV/atom): -128
Total moment (μB per atom): 0.00
Total energy (eV/atom): -1.1793
Density (g/cm3): 5.07



Record 3
Pa2InAu | PBE | optimized geometry

Cell lengths 3.1874, 3.1874, 10.8860 Å; angles 81.58, 81.58, 60.00 degrees
Closest atoms and distances in Å follow each position.
Positions (direct):
Pa1 0.7457 0.7457 0.7629  3 Au 3.14, 6 Pa 3.19, 3 In 3.37
Pa2 0.2543 0.2543 0.2371  3 Au 3.14, 6 Pa 3.19, 3 In 3.37
Au1 0.0000 0.0000 0.0000  6 Pa 3.14, 6 Au 3.19
In1 0.5000 0.5000 0.5000  6 In 3.19, 6 Pa 3.37

Excess energy over the best structure of this formula in the dataset (meV per atom): 29.1
Crystal system: trigonal
Space-group type: No. 166
Formation enthalpy at 0 K (meV/atom): -127
Total moment (μB per atom): 0.00
Total energy (eV/atom): -6.3790
Density (g/cm3): 13.61



Record 4
K2Be2HgI6 | PBE | optimized geometry

Cell lengths 8.4056, 9.4554, 9.6878 Å; angles 113.49, 90.31, 63.92 degrees
Closest atoms and distances in Å follow each position.
Positions (direct):
K1 0.1584 0.6876 0.1986  6 I 3.60-3.66
K2 0.8416 0.3124 0.8014  6 I 3.60-3.66
I1 0.0827 0.3101 0.1092  1 Be 2.31
I2 0.6063 0.3108 0.1098  1 Be 2.31
I3 0.0811 0.8360 0.6090  1 Be 2.31
I4 0.9189 0.1640 0.3910  1 Be 2.31
I5 0.9173 0.6899 0.8908  1 Be 2.31
I6 0.3937 0.6892 0.8902  1 Be 2.31
Be1 0.1364 0.7267 0.7897  3 I 2.31
Be2 0.8636 0.2733 0.2103  3 I 2.31
Hg1 0.5000 0.0000 0.5000  4 I 4.69-4.70, 4 K 5.10-5.18

Crystal system: triclinic
Space-group type: No. 2
Total moment (μB per atom): 0.00
Formation energy (no corrections) (kcal/mol of atoms): -18.027
Total energy (eV/atom): -2.5317
Density (g/cm3): 2.83



Record 5
MgBe2Ag | PBE | optimized geometry

Cell lengths 4.0604, 2.7099, 5.2111 Å; angles 75.88, 90.00, 90.00 degrees
Closest atoms and distances in Å follow each position.
Positions (direct):
Ag1 0.5000 0.7500 0.7500  4 Be 2.48, 2 Mg 2.63, 2 Ag 2.71
Mg1 0.5000 0.2500 0.2500  2 Ag 2.63, 8 Be 2.70-2.91, 2 Mg 2.71
Be1 0.0000 0.9538 0.9790  2 Ag 2.48, 4 Be 2.53-2.77, 2 Mg 2.70
Be2 0.0000 0.5462 0.5210  2 Ag 2.48, 4 Be 2.53-2.77, 2 Mg 2.70

Crystal system: monoclinic
Space-group type: No. 10
Formation enthalpy at 0 K (meV/atom): 320
Total moment (μB per atom): 0.00
Total energy (eV/atom): -2.6544
Density (g/cm3): 4.49



Record 6
Ca3C | PBE | optimized geometry

Cell lengths 5.2521, 5.2521, 5.2521 Å; angles 60.00, 60.00, 60.00 degrees
Closest atoms and distances in Å follow each position.
Positions (direct):
C1 0.0000 0.0000 0.0000  8 Ca 3.22
Ca1 0.7500 0.7500 0.7500  4 C 3.22, 4 Ca 3.22
Ca2 0.2500 0.2500 0.2500  4 Ca 3.22, 4 C 3.22
Ca3 0.5000 0.5000 0.5000  8 Ca 3.22

Excess energy over the best structure of this formula in the dataset (meV per atom): 947.4
Crystal system: cubic
Space-group type: No. 225
Formation enthalpy at 0 K (meV/atom): 1194
Total moment (μB per atom): 0.00
Total energy (eV/atom): -2.6132
Density (g/cm3): 2.14



Record 7
Pr4Re | PBE | optimized geometry

Cell lengths 5.6458, 5.6458, 5.6458 Å; angles 90.00, 90.00, 90.00 degrees
Closest atoms and distances in Å follow each position.
Positions (direct):
Pr1 0.0000 0.5000 0.5000  2 Re 2.82
Pr2 0.5000 0.0000 0.5000  2 Re 2.82
Pr3 0.0000 0.0000 0.0000  12 Pr 3.99
Pr4 0.5000 0.5000 0.0000  2 Re 2.82
Re1 0.5000 0.5000 0.5000  6 Pr 2.82

Crystal system: cubic
Space-group type: No. 221
Formation enthalpy at 0 K (meV/atom): 363
Total moment (μB per atom): 0.15
Total energy (eV/atom): -5.9503
Density (g/cm3): 6.92



Record 8
ZrCo2Sn | PBE | optimized geometry

Cell lengths 6.8856, 6.8856, 5.6715 Å; angles 52.62, 52.62, 90.00 degrees
Closest atoms and distances in Å follow each position.
Positions (direct):
Zr1 0.2500 0.7500 0.5000  4 Co 2.52
Zr2 0.5000 0.5000 0.0000  4 Co 2.52
Co1 0.3750 0.3801 0.7500  2 Zr 2.52, 2 Sn 2.56
Co2 0.8750 0.8699 0.7500  2 Zr 2.52, 2 Sn 2.56
Co3 0.6199 0.1250 0.2500  2 Zr 2.52, 2 Sn 2.56
Co4 0.1301 0.6250 0.2500  2 Zr 2.52, 2 Sn 2.56
Sn1 0.7500 0.2500 0.5000  4 Co 2.56
Sn2 0.0000 0.0000 0.0000  4 Co 2.56

Crystal system: tetragonal
Space-group type: No. 122
Formation enthalpy at 0 K (meV/atom): 270
Total moment (μB per atom): 0.00
Total energy (eV/atom): -6.4207
Density (g/cm3): 7.89